Record 1
Below is a relaxed Rb5Ba3I12 crystal, with properties calculated at the PBE-GGA level. Values from VASP.

Summary:
**Raw formation energy**: -1.41 eV/atom
**DFT total energy**: -2.870 eV/atom

```
&SYSTEM
  ibrav = 0, nat = 80, ntyp = 3
/
ATOMIC_SPECIES
Rb 85.47 Rb.upf
I 126.90 I.upf
Ba 137.33 Ba.upf
CELL_PARAMETERS angstrom
18.093 0.000 0.000
-6.031 17.058 0.000
-6.031 -8.529 14.773
ATOMIC_POSITIONS crystal
Rb 0.500 0.000 0.000
Rb 0.250 0.875 0.125
Rb 0.375 0.125 0.750
Rb 0.500 0.500 0.000
Rb 0.125 0.375 0.250
Rb 0.750 0.125 0.875
Rb 0.000 0.000 0.500
Rb 0.625 0.750 0.875
Rb 0.250 0.375 0.625
Rb 0.500 0.500 0.500
Rb 0.000 0.500 0.500
Rb 0.500 0.000 0.500
Rb 0.625 0.875 0.250
Rb 0.125 0.750 0.375
Rb 0.875 0.250 0.625
Rb 0.875 0.625 0.750
Rb 0.000 0.000 0.000
Rb 0.750 0.625 0.375
Rb 0.375 0.250 0.125
Rb 0.000 0.500 0.000
I 0.171 0.099 0.735
I 0.572 0.936 0.671
I 0.928 0.099 0.864
I 0.401 0.265 0.329
I 0.064 0.428 0.829
I 0.671 0.436 0.572
I 0.928 0.829 0.564
I 0.436 0.671 0.072
I 0.864 0.599 0.928
I 0.864 0.265 0.436
I 0.599 0.864 0.428
I 0.936 0.364 0.265
I 0.436 0.765 0.864
I 0.099 0.171 0.235
I 0.099 0.928 0.364
I 0.735 0.599 0.171
I 0.329 0.765 0.401
I 0.064 0.636 0.735
I 0.636 0.064 0.235
I 0.901 0.829 0.765
I 0.765 0.329 0.901
I 0.364 0.936 0.765
I 0.636 0.572 0.901
I 0.329 0.564 0.428
I 0.265 0.864 0.936
I 0.364 0.428 0.099
I 0.136 0.401 0.072
I 0.829 0.901 0.265
I 0.572 0.636 0.401
I 0.564 0.235 0.136
I 0.265 0.401 0.829
I 0.235 0.564 0.636
I 0.671 0.235 0.599
I 0.735 0.136 0.064
I 0.564 0.329 0.928
I 0.765 0.436 0.364
I 0.936 0.572 0.171
I 0.072 0.171 0.436
I 0.401 0.136 0.572
I 0.171 0.072 0.936
I 0.599 0.735 0.671
I 0.901 0.072 0.636
I 0.829 0.928 0.064
I 0.428 0.364 0.599
I 0.235 0.671 0.099
I 0.136 0.735 0.564
I 0.072 0.901 0.136
I 0.428 0.064 0.329
Ba 0.250 0.125 0.375
Ba 0.750 0.375 0.125
Ba 0.875 0.750 0.125
Ba 0.625 0.250 0.375
Ba 0.375 0.750 0.625
Ba 0.750 0.875 0.625
Ba 0.250 0.625 0.875
Ba 0.625 0.375 0.750
Ba 0.375 0.625 0.250
Ba 0.125 0.875 0.750
Ba 0.875 0.125 0.250
Ba 0.125 0.250 0.875
```

Record 2
Below is a relaxed LiHf2Zr crystal, with properties calculated at the PBE-GGA level. Values from VASP.

Summary:
**ΔE to the lowest computed polymorph**: 0.422 eV per atom
**DFT total energy**: -7.000 eV/atom

```
&SYSTEM
  ibrav = 0, nat = 8, ntyp = 3
/
ATOMIC_SPECIES
Hf 178.49 Hf.upf
Li 6.94 Li.upf
Zr 91.22 Zr.upf
CELL_PARAMETERS angstrom
-1.112 0.237 -3.957
-1.973 -3.598 0.339
-10.106 3.271 0.894
ATOMIC_POSITIONS crystal
Hf 0.375 0.374 0.750
Hf 0.875 0.876 0.750
Hf 0.626 0.125 0.250
Hf 0.124 0.625 0.250
Li 0.250 0.750 0.500
Li 0.500 0.500 0.000
Zr 0.750 0.250 0.500
Zr 0.000 0.000 0.000
```

Q: DFT total energy of number 2 (LiHf2Zr)?
A: -7.000 eV/atom